# BaCa

BaCa after structural relaxation (PBE, Alexandria via LeMat-Bulk).

Values from the calculation:
**Total moment**: 0.00 μB/f.u.
**VASP energy**: -1.9006 eV/atom
**Polymorph energy (0 for the lowest one)**: 3.8 kJ per mole of atoms
**DFT formation energy**: 0.06 eV/atom

```
BaCa
1.0
4.161 0.000 0.000
-2.081 3.604 0.000
0.000 0.000 13.782
Ba Ca
2 2
direct
0.000 0.000 0.000
0.000 0.000 0.500
0.333 0.667 0.250
0.667 0.333 0.750
```

=====

# Ba2Ca

Ba2Ca after structural relaxation (PBE, Alexandria via LeMat-Bulk).

Values from the calculation:
**Total moment**: 0.00 μB/f.u.
**VASP energy**: -1.9044 eV/atom
**Polymorph energy (0 for the lowest one)**: 1.4 kJ per mole of atoms
**DFT formation energy**: 0.04 eV/atom

```
Ba2Ca
1.0
7.958 -2.150 0.000
7.958 2.150 0.000
-2.819 0.000 9.725
Ba Ca
4 2
direct
0.000 0.000 0.000
0.051 0.051 0.598
0.329 0.329 0.666
0.671 0.671 0.324
0.381 0.381 0.258
0.722 0.722 0.943
```

=====

# Ba7Ca5

Ba7Ca5 after structural relaxation (PBE, Alexandria via LeMat-Bulk).

Values from the calculation:
**Total moment**: 0.00 μB/f.u.
**VASP energy**: -1.9187 eV/atom
**Polymorph energy (0 for the lowest one)**: 0.3 kJ per mole of atoms
**DFT formation energy**: 0.04 eV/atom

```
Ba7Ca5
1.0
7.110 -3.363 0.000
7.110 3.363 0.000
-0.021 0.000 13.404
Ba Ca
7 5
direct
0.000 0.000 0.000
0.170 0.170 0.247
0.335 0.335 0.501
0.496 0.496 0.242
0.504 0.504 0.758
0.665 0.665 0.499
0.830 0.830 0.753
0.000 0.000 0.500
0.166 0.166 0.746
0.320 0.320 0.991
0.680 0.680 0.009
0.834 0.834 0.254
```

=====

# Ba4Ca5

Ba4Ca5 after structural relaxation (PBE, Alexandria via LeMat-Bulk).

Values from the calculation:
**Total moment**: 0.00 μB/f.u.
**VASP energy**: -1.9238 eV/atom
**Polymorph energy (0 for the lowest one)**: 0.4 kJ per mole of atoms
**DFT formation energy**: 0.04 eV/atom

```
Ba4Ca5
1.0
-6.802 6.802 2.460
6.802 -6.802 2.460
6.802 6.802 -2.460
Ba Ca
4 5
direct
0.000 0.324 0.324
0.000 0.676 0.676
0.324 0.000 0.324
0.676 0.000 0.676
0.000 0.000 0.000
0.335 0.335 0.669
0.335 0.665 0.000
0.665 0.335 0.000
0.665 0.665 0.331
```